(1)
{"formula": "Ce3ErSb4", "functional": "GGA-PBE", "state": "relaxed", "lattice_angstrom": [[8.916, 0.000, 0.000], [0.000, 12.619, 0.000], [0.000, 0.000, 4.469]], "species": ["Ce", "Ce", "Ce", "Ce", "Ce", "Ce", "Er", "Er", "Sb", "Sb", "Sb", "Sb", "Sb", "Sb", "Sb", "Sb"], "fractional_positions": [[0.000, 0.000, 0.000], [0.250, 0.250, 0.500], [0.250, 0.750, 0.500], [0.500, 0.500, 0.000], [0.750, 0.250, 0.500], [0.750, 0.750, 0.500], [0.000, 0.500, 0.000], [0.500, 0.000, 0.000], [0.000, 0.253, 0.000], [0.000, 0.747, 0.000], [0.244, 0.500, 0.500], [0.256, 0.000, 0.500], [0.500, 0.247, 0.000], [0.500, 0.753, 0.000], [0.744, 0.000, 0.500], [0.756, 0.500, 0.500]], "space_group": "Cmmm"}



(2)
{"formula": "CeEr4Sb5", "functional": "GGA-PBE", "state": "relaxed", "lattice_angstrom": [[-2.192, 3.100, 10.948], [2.192, -3.100, 10.948], [2.192, 3.100, -10.948]], "species": ["Ce", "Er", "Er", "Er", "Er", "Sb", "Sb", "Sb", "Sb", "Sb"], "fractional_positions": [[0.000, 0.000, 0.000], [0.202, 0.202, 0.000], [0.399, 0.399, 0.000], [0.601, 0.601, 0.000], [0.798, 0.798, 0.000], [0.103, 0.603, 0.500], [0.300, 0.800, 0.500], [0.500, 0.000, 0.500], [0.700, 0.200, 0.500], [0.897, 0.397, 0.500]], "space_group": "Immm"}



| no. | D(E_F) (states/eV/cell) | total energy (eV per formula unit) |
| --- | --- | --- |
| 1 | 40.9 | -47.25 |
| 2 | 7.1 | -55.61 |